A plane-wave DFT calculation with PBE-GGA was carried out for a geometry-optimized Dy4Ho7Pu structure.

Lattice parameters (Å, degrees): 8.597 8.597 9.323 118.10 118.10 39.45
Positions (direct):
Dy 0.091 0.091 0.456
Dy 0.236 0.236 0.267
Dy 0.764 0.764 0.733
Dy 0.909 0.909 0.544
Ho 0.000 0.000 0.000
Ho 0.208 0.208 0.884
Ho 0.334 0.334 0.661
Ho 0.438 0.438 0.282
Ho 0.562 0.562 0.718
Ho 0.666 0.666 0.339
Ho 0.792 0.792 0.116
Pu 0.500 0.500 0.000

Values from the calculation:
As for the crystal system: monoclinic. As for the final energy: -5.146 eV per atom. The density is 8.97 g cm⁻³. The space group is C2/m. The energy relative to the elements comes out at 0.253 eV/atom.